1.
# PBE SbPPb, relaxed
data_SbPPb
_symmetry_space_group_name_H-M 'P -1'
_symmetry_Int_Tables_number 2
_symmetry_space_group_name_Hall '-P 1'
_cell_length_a 4.734
_cell_length_b 5.962
_cell_length_c 6.905
_cell_angle_alpha 70.07
_cell_angle_beta 80.84
_cell_angle_gamma 80.07
loop_
_atom_site_label
_atom_site_type_symbol
_atom_site_fract_x
_atom_site_fract_y
_atom_site_fract_z
Sb1 Sb 0.117 0.466 0.191
P1 P 0.172 0.878 0.586
Pb1 Pb 0.420 0.155 0.763
# DOS(E_F) in states/eV/f.u.: 0.65
# Formation energy without anion corrections in meV per atom: 102
# Offset from the most stable computed form in kJ/mol of formula units: 7.6

2.
# PBE SrPm2Au3, relaxed
data_SrPm2Au3
_symmetry_space_group_name_H-M 'P 4/m m m'
_symmetry_Int_Tables_number 123
_symmetry_space_group_name_Hall '-P 4 2'
_cell_length_a 3.733
_cell_length_b 3.733
_cell_length_c 11.335
_cell_angle_alpha 90.00
_cell_angle_beta 90.00
_cell_angle_gamma 90.00
loop_
_atom_site_label
_atom_site_type_symbol
_atom_site_fract_x
_atom_site_fract_y
_atom_site_fract_z
Sr1 Sr 0.000 0.000 0.000
Pm1 Pm 0.000 0.000 0.335
Au1 Au 0.500 0.500 0.191
Au2 Au 0.500 0.500 0.500
# DOS(E_F) in states/eV/f.u.: 4.07
# Energy relative to the elements in eV/atom: -0.78

3.
# PBE Sr2Cr4In, relaxed
data_Sr2Cr4In
_symmetry_space_group_name_H-M 'I 4/m m m'
_symmetry_Int_Tables_number 139
_symmetry_space_group_name_Hall '-I 4 2'
_cell_length_a 5.239
_cell_length_b 5.239
_cell_length_c 16.837
_cell_angle_alpha 90.00
_cell_angle_beta 90.00
_cell_angle_gamma 90.00
loop_
_atom_site_label
_atom_site_type_symbol
_atom_site_fract_x
_atom_site_fract_y
_atom_site_fract_z
Sr1 Sr 0.000 0.000 0.139
Cr1 Cr 0.000 0.000 0.338
Cr2 Cr 0.000 0.500 0.000
In1 In 0.000 0.000 0.500
# DOS(E_F) in states/eV/f.u.: 4.55
# Energy relative to the elements in eV/atom: 1.10

4.
# PBE BaCd2Pd, relaxed
data_BaCd2Pd
_symmetry_space_group_name_H-M 'R -3 m'
_symmetry_Int_Tables_number 166
_symmetry_space_group_name_Hall '-R 3 2"'
_cell_length_a 4.7997
_cell_length_b 4.7997
_cell_length_c 17.4432
_cell_angle_alpha 90.00
_cell_angle_beta 90.00
_cell_angle_gamma 120.00
loop_
_atom_site_label
_atom_site_type_symbol
_atom_site_fract_x
_atom_site_fract_y
_atom_site_fract_z
Ba1 Ba 0.0000 0.0000 0.0000
Cd1 Cd 0.0000 0.0000 0.2023
Pd1 Pd 0.0000 0.0000 0.5000
# DOS(E_F) in states/eV/f.u.: 2.51
# Energy relative to the elements in eV/atom: -0.37

5.
# PBE Cd6In8Sn, relaxed
data_Cd6In8Sn
_symmetry_space_group_name_H-M 'R -3'
_symmetry_Int_Tables_number 148
_symmetry_space_group_name_Hall '-R 3'
_cell_length_a 7.4279
_cell_length_b 7.4279
_cell_length_c 25.2685
_cell_angle_alpha 90.00
_cell_angle_beta 90.00
_cell_angle_gamma 120.00
loop_
_atom_site_label
_atom_site_type_symbol
_atom_site_fract_x
_atom_site_fract_y
_atom_site_fract_z
Cd1 Cd 0.0000 0.2384 0.1270
In1 In 0.0000 0.0000 0.2483
In2 In 0.0379 0.2736 0.6297
Sn1 Sn 0.0000 0.0000 0.5000
# DOS(E_F) in states/eV/f.u.: 7.65
# Energy relative to the elements in eV/atom: 0.07

6.
# PBE Sm2ErThSe4, relaxed
data_Sm2ErThSe4
_symmetry_space_group_name_H-M 'P 1 2/m 1'
_symmetry_Int_Tables_number 10
_symmetry_space_group_name_Hall '-P 2y'
_cell_length_a 7.160
_cell_length_b 4.112
_cell_length_c 7.266
_cell_angle_alpha 90.00
_cell_angle_beta 109.06
_cell_angle_gamma 90.00
loop_
_atom_site_label
_atom_site_type_symbol
_atom_site_fract_x
_atom_site_fract_y
_atom_site_fract_z
Sm1 Sm 0.000 0.000 0.000
Sm2 Sm 0.000 0.500 0.500
Er1 Er 0.500 0.000 0.500
Th1 Th 0.500 0.500 0.000
Se1 Se 0.251 0.000 0.742
Se2 Se 0.257 0.500 0.261
# DOS(E_F) in states/eV/f.u.: 4.34
# Formation energy without anion corrections in meV per atom: -1704

7.
# PBE B4RuRh5, relaxed
data_B4RuRh5
_symmetry_space_group_name_H-M 'C 1 2/m 1'
_symmetry_Int_Tables_number 12
_symmetry_space_group_name_Hall '-C 2y'
_cell_length_a 14.144
_cell_length_b 2.890
_cell_length_c 5.664
_cell_angle_alpha 90.00
_cell_angle_beta 101.29
_cell_angle_gamma 90.00
loop_
_atom_site_label
_atom_site_type_symbol
_atom_site_fract_x
_atom_site_fract_y
_atom_site_fract_z
B1 B 0.063 0.000 0.280
B2 B 0.130 0.500 0.813
Ru1 Ru 0.000 0.500 0.000
Rh1 Rh 0.000 0.500 0.500
Rh2 Rh 0.175 0.000 0.086
Rh3 Rh 0.175 0.000 0.582
# DOS(E_F) in states/eV/f.u.: 5.90
# Energy relative to the elements in eV/atom: -0.29

8.
# PBE Ba3Cd3Pb2, relaxed
data_Ba3Cd3Pb2
_symmetry_space_group_name_H-M 'C m c m'
_symmetry_Int_Tables_number 63
_symmetry_space_group_name_Hall '-C 2c 2'
_cell_length_a 5.176
_cell_length_b 12.539
_cell_length_c 17.816
_cell_angle_alpha 90.00
_cell_angle_beta 90.00
_cell_angle_gamma 90.00
loop_
_atom_site_label
_atom_site_type_symbol
_atom_site_fract_x
_atom_site_fract_y
_atom_site_fract_z
Ba1 Ba 0.000 0.092 0.103
Ba2 Ba 0.000 0.370 0.250
Cd1 Cd 0.000 0.343 0.750
Cd2 Cd 0.000 0.385 0.033
Pb1 Pb 0.000 0.204 0.603
# DOS(E_F) in states/eV/f.u.: 4.99
# Energy relative to the elements in eV/atom: -0.43

9.
# PBE SrCaB3, relaxed
data_SrCaB3
_symmetry_space_group_name_H-M 'P m -3 m'
_symmetry_Int_Tables_number 221
_symmetry_space_group_name_Hall '-P 4 2 3'
_cell_length_a 4.828
_cell_length_b 4.828
_cell_length_c 4.828
_cell_angle_alpha 90.00
_cell_angle_beta 90.00
_cell_angle_gamma 90.00
loop_
_atom_site_label
_atom_site_type_symbol
_atom_site_fract_x
_atom_site_fract_y
_atom_site_fract_z
Sr1 Sr 0.000 0.000 0.000
Ca1 Ca 0.500 0.500 0.500
B1 B 0.000 0.500 0.500
# DOS(E_F) in states/eV/f.u.: 4.54
# Energy relative to the elements in eV/atom: 1.82
# Offset from the most stable computed form in kJ/mol of formula units: 0.0

10.
# PBE In4RuCl, relaxed
data_In4RuCl
_symmetry_space_group_name_H-M 'F -4 3 m'
_symmetry_Int_Tables_number 216
_symmetry_space_group_name_Hall 'F -4 2 3'
_cell_length_a 8.355
_cell_length_b 8.355
_cell_length_c 8.355
_cell_angle_alpha 90.00
_cell_angle_beta 90.00
_cell_angle_gamma 90.00
loop_
_atom_site_label
_atom_site_type_symbol
_atom_site_fract_x
_atom_site_fract_y
_atom_site_fract_z
In1 In 0.125 0.125 0.125
Ru1 Ru 0.250 0.250 0.750
Cl1 Cl 0.000 0.000 0.500
# DOS(E_F) in states/eV/f.u.: 5.27
# Formation energy without anion corrections in meV per atom: 516

11.
# PBE NdTm14Mg, relaxed
data_NdTm14Mg
_symmetry_space_group_name_H-M 'A m m 2'
_symmetry_Int_Tables_number 38
_symmetry_space_group_name_Hall 'A 2 -2'
_cell_length_a 11.255
_cell_length_b 7.004
_cell_length_c 12.154
_cell_angle_alpha 90.00
_cell_angle_beta 90.00
_cell_angle_gamma 90.00
loop_
_atom_site_label
_atom_site_type_symbol
_atom_site_fract_x
_atom_site_fract_y
_atom_site_fract_z
Nd1 Nd 0.000 0.000 0.000
Tm1 Tm 0.000 0.247 0.754
Tm2 Tm 0.247 0.000 0.339
Tm3 Tm 0.251 0.249 0.089
Tm4 Tm 0.254 0.000 0.838
Tm5 Tm 0.500 0.000 0.171
Tm6 Tm 0.500 0.000 0.670
Tm7 Tm 0.500 0.248 0.422
Mg1 Mg 0.000 0.000 0.505
# DOS(E_F) in states/eV/f.u.: 24.01
# Energy relative to the elements in eV/atom: 0.01

12.
# PBE SmSc2O, relaxed
data_SmSc2O
_symmetry_space_group_name_H-M 'P 4/m m m'
_symmetry_Int_Tables_number 123
_symmetry_space_group_name_Hall '-P 4 2'
_cell_length_a 3.000
_cell_length_b 3.000
_cell_length_c 8.463
_cell_angle_alpha 90.00
_cell_angle_beta 90.00
_cell_angle_gamma 90.00
loop_
_atom_site_label
_atom_site_type_symbol
_atom_site_fract_x
_atom_site_fract_y
_atom_site_fract_z
Sm1 Sm 0.000 0.000 0.000
Sc1 Sc 0.500 0.500 0.333
O1 O 0.000 0.000 0.500
# DOS(E_F) in states/eV/f.u.: 5.01
# Formation energy without anion corrections in meV per atom: -821
# Offset from the most stable computed form in kJ/mol of formula units: 219.4

13.
# PBE LiGa2SnAu, relaxed
data_LiGa2SnAu
_symmetry_space_group_name_H-M 'P 4/m m m'
_symmetry_Int_Tables_number 123
_symmetry_space_group_name_Hall '-P 4 2'
_cell_length_a 4.659
_cell_length_b 4.659
_cell_length_c 4.763
_cell_angle_alpha 90.00
_cell_angle_beta 90.00
_cell_angle_gamma 90.00
loop_
_atom_site_label
_atom_site_type_symbol
_atom_site_fract_x
_atom_site_fract_y
_atom_site_fract_z
Li1 Li 0.000 0.000 0.000
Ga1 Ga 0.000 0.500 0.000
Sn1 Sn 0.500 0.500 0.500
Au1 Au 0.000 0.000 0.500
# DOS(E_F) in states/eV/f.u.: 2.57
# Energy relative to the elements in eV/atom: 0.16

14.
# PBE Tl5Br4F, relaxed
data_Tl5Br4F
_symmetry_space_group_name_H-M 'I 4/m m m'
_symmetry_Int_Tables_number 139
_symmetry_space_group_name_Hall '-I 4 2'
_cell_length_a 4.712
_cell_length_b 4.712
_cell_length_c 32.476
_cell_angle_alpha 90.00
_cell_angle_beta 90.00
_cell_angle_gamma 90.00
loop_
_atom_site_label
_atom_site_type_symbol
_atom_site_fract_x
_atom_site_fract_y
_atom_site_fract_z
Tl1 Tl 0.000 0.000 0.000
Tl2 Tl 0.000 0.000 0.201
Tl3 Tl 0.000 0.000 0.415
Br1 Br 0.000 0.000 0.098
Br2 Br 0.000 0.000 0.307
F1 F 0.000 0.000 0.500
# DOS(E_F) in states/eV/f.u.: 0.00
# Formation energy without anion corrections in meV per atom: -991

15.
# PBE Cr3GeS, relaxed
data_Cr3GeS
_symmetry_space_group_name_H-M 'P m -3 m'
_symmetry_Int_Tables_number 221
_symmetry_space_group_name_Hall '-P 4 2 3'
_cell_length_a 4.149
_cell_length_b 4.149
_cell_length_c 4.149
_cell_angle_alpha 90.00
_cell_angle_beta 90.00
_cell_angle_gamma 90.00
loop_
_atom_site_label
_atom_site_type_symbol
_atom_site_fract_x
_atom_site_fract_y
_atom_site_fract_z
Cr1 Cr 0.000 0.000 0.500
Ge1 Ge 0.500 0.500 0.500
S1 S 0.000 0.000 0.000
# DOS(E_F) in states/eV/f.u.: 9.29
# Formation energy without anion corrections in meV per atom: 399
# Offset from the most stable computed form in kJ/mol of formula units: 0.0